{
  "formula": "ZnH6Ir2Rh",
  "functional": "GGA-PBE",
  "state": "relaxed",
  "lattice_angstrom": [[4.2034, -4.5503, 0.0000], [4.2034, 4.5503, 0.0000], [-1.2770, 0.0000, 4.3868]],
  "species": ["Zn", "Zn", "H", "H", "H", "H", "H", "H", "H", "H", "H", "H", "H", "H", "Ir", "Ir", "Ir", "Ir", "Rh", "Rh"],
  "frac_coords": [[0.1290, 0.8710, 0.7500], [0.8710, 0.1290, 0.2500], [0.1202, 0.5930, 0.3945], [0.2383, 0.5253, 0.8611], [0.2493, 0.3014, 0.1983], [0.3014, 0.2493, 0.6983], [0.4070, 0.8798, 0.1055], [0.4747, 0.7617, 0.6389], [0.5253, 0.2383, 0.3611], [0.5930, 0.1202, 0.8945], [0.6986, 0.7507, 0.3017], [0.7507, 0.6986, 0.8017], [0.7617, 0.4747, 0.1389], [0.8798, 0.4070, 0.6055], [0.0587, 0.2913, 0.8352], [0.2913, 0.0587, 0.3352], [0.7087, 0.9413, 0.6648], [0.9413, 0.7087, 0.1648], [0.3894, 0.6106, 0.2500], [0.6106, 0.3894, 0.7500]],
  "final_energy_ev_per_cell": -90.31,
  "total_magnetization_mub_per_atom": 0.00,
  "space_group": "C2/c (15)",
  "dos_at_fermi_per_ev_fu": 4.25
}